[1]
Here is crystalline Sr2CdHgPd at its relaxed geometry from Alexandria via LeMat-Bulk. Energies are from GGA-PBE.

## Properties
The formation energy is -372 meV per atom. For the density of states at the Fermi level, the calculation gives 0.223 states/eV/atom. The space group is No. 123.

Cell lengths 5.805, 5.805, 5.231 Å; angles 90.00, 90.00, 90.00 degrees
Fractional positions:
Pd 0.000 0.000 0.000
Sr 0.000 0.500 0.000
Sr 0.500 0.000 0.000
Hg 0.500 0.500 0.500
Cd 0.000 0.000 0.500



[2]
Here is crystalline AcZn3Cu8 at its relaxed geometry from Alexandria via LeMat-Bulk. Energies are from GGA-PBE.

## Properties
The formation energy is -21 meV per atom. For the density of states at the Fermi level, the calculation gives 0.419 states/eV/atom. The space group is No. 156.

Cell lengths 4.995, 4.995, 8.573 Å; angles 90.00, 90.00, 120.00 degrees
Fractional positions:
Zn 0.667 0.333 0.044
Zn 0.000 0.000 0.977
Zn 0.667 0.333 0.351
Cu 0.502 0.004 0.780
Cu 0.333 0.667 0.489
Cu 0.166 0.834 0.240
Cu 0.333 0.667 0.008
Cu 0.166 0.332 0.240
Cu 0.668 0.834 0.240
Cu 0.502 0.498 0.780
Cu 0.996 0.498 0.780
Ac 0.000 0.000 0.570



[3]
Here is crystalline GaNi2Ir at its relaxed geometry from Alexandria via LeMat-Bulk. Energies are from GGA-PBE.

## Properties
The formation energy is 182 meV per atom. For the density of states at the Fermi level, the calculation gives 1.574 states/eV/atom. The space group is No. 122.

Cell lengths 3.569, 3.569, 9.078 Å; angles 78.66, 78.66, 90.00 degrees
Fractional positions:
Ga 0.250 0.750 0.500
Ga 0.500 0.500 0.000
Ir 0.750 0.250 0.500
Ir 0.000 0.000 0.000
Ni 0.875 0.878 0.750
Ni 0.628 0.125 0.250
Ni 0.122 0.625 0.250
Ni 0.375 0.372 0.750



[4]
Here is crystalline AcSm12Tl3 at its relaxed geometry from Alexandria via LeMat-Bulk. Energies are from GGA-PBE.

## Properties
The formation energy is -122 meV per atom. For the density of states at the Fermi level, the calculation gives 1.501 states/eV/atom. The space group is No. 123.

Cell lengths 4.978, 4.978, 20.411 Å; angles 90.00, 90.00, 90.00 degrees
Fractional positions:
Ac 0.000 0.000 0.000
Sm 0.500 0.000 0.379
Sm 0.500 0.500 0.500
Sm 0.500 0.500 0.741
Sm 0.500 0.000 0.621
Sm 0.000 0.500 0.621
Sm 0.000 0.500 0.379
Sm 0.000 0.500 0.864
Sm 0.500 0.500 0.000
Sm 0.000 0.500 0.136
Sm 0.500 0.500 0.259
Sm 0.500 0.000 0.136
Sm 0.500 0.000 0.864
Tl 0.000 0.000 0.500
Tl 0.000 0.000 0.259
Tl 0.000 0.000 0.741



[5]
Here is crystalline CsTeF2 at its relaxed geometry from Alexandria via LeMat-Bulk. Energies are from GGA-PBE.

## Properties
For the density of states at the Fermi level, the calculation gives 0.701 states/eV/atom. The excess energy over the best structure of this formula in the dataset comes out at 0.0 meV per atom. The space group is No. 166. The formation energy from raw total energies is -175 kJ/mol of atoms.

Cell lengths 7.981, 7.981, 7.981 Å; angles 30.76, 30.76, 30.76 degrees
Fractional positions:
F 0.905 0.905 0.905
F 0.095 0.095 0.095
Te 0.000 0.000 0.000
Cs 0.500 0.500 0.500



[6]
Here is crystalline V2CrCuSb at its relaxed geometry from Alexandria via LeMat-Bulk. Energies are from GGA-PBE.

## Properties
For the density of states at the Fermi level, the calculation gives 1.846 states/eV/atom. The space group is No. 123. The formation energy from raw total energies is 142 kJ/mol of atoms.

Cell lengths 4.436, 4.582, 4.436 Å; angles 90.00, 90.00, 90.00 degrees
Fractional positions:
V 0.000 0.000 0.500
V 0.500 0.000 0.000
Cr 0.500 0.500 0.500
Cu 0.000 0.000 0.000
Sb 0.000 0.500 0.000



[7]
Here is crystalline PrY3Er2P6 at its relaxed geometry from Alexandria via LeMat-Bulk. Energies are from GGA-PBE.

## Properties
The formation energy is -1592 meV per atom. For the density of states at the Fermi level, the calculation gives 0.137 states/eV/atom. The space group is No. 12.

Cell lengths 6.985, 6.985, 6.986 Å; angles 99.60, 99.60, 120.00 degrees
Fractional positions:
Er 0.667 0.333 0.000
Er 0.333 0.667 0.000
P 0.257 0.257 0.749
P 0.916 0.575 0.748
P 0.084 0.425 0.252
P 0.575 0.916 0.748
P 0.743 0.743 0.251
P 0.425 0.084 0.252
Y 0.500 0.500 0.500
Y 0.835 0.165 0.500
Y 0.165 0.835 0.500
Pr 0.000 0.000 0.000



[8]
Here is crystalline CaAlSb3 at its relaxed geometry from Alexandria via LeMat-Bulk. Energies are from GGA-PBE.

## Properties
For the density of states at the Fermi level, the calculation gives 0.905 states/eV/atom. The excess energy over the best structure of this formula in the dataset comes out at 0.0 meV per atom. The space group is No. 221. The formation energy from raw total energies is 6 kJ/mol of atoms.

Cell lengths 5.351, 5.351, 5.351 Å; angles 90.00, 90.00, 90.00 degrees
Fractional positions:
Sb 0.500 0.000 0.000
Sb 0.000 0.000 0.500
Sb 0.000 0.500 0.000
Ca 0.500 0.500 0.500
Al 0.000 0.000 0.000